Entry 1:
Computed, not measured: a relaxed Ba2PdRh crystal at the PBE level of DFT.

a b c (Å): 6.044 4.796 9.033
angles (deg): 90.00 104.74 90.00
Space group P2_1/m (No. 11)
One atom of each set of equivalent atoms:
Ba 0.212 0.250 0.430 x2
Ba 0.283 0.750 0.073 x2
Pd 0.328 0.750 0.725 x2
Rh 0.186 0.250 0.771 x2

## Properties
Total moment   0.000 μB/cell
Energy relative to the elements   -0.291 eV/atom

Entry 2:
Computed, not measured: a relaxed Ba8Pd2Rh crystal at the PBE level of DFT.

a b c (Å): 15.194 8.353 8.550
angles (deg): 90.00 90.23 90.00
Space group C2/m (No. 12)
One atom of each set of equivalent atoms:
Ba 0.036 0.241 0.245 x8
Ba 0.194 0.000 0.620 x4
Ba 0.215 0.500 0.898 x4
Pd 0.095 0.000 0.957 x4
Rh 0.000 0.000 0.500 x2

## Properties
Total moment   0.000 μB/cell
Relative energy among the computed polymorphs   0 meV/atom
Energy relative to the elements   -0.252 eV/atom

Entry 3:
Computed, not measured: a relaxed BaPd2Rh3S8 crystal at the PBE level of DFT.

a b c (Å): 7.3271 7.3271 18.7756
angles (deg): 90.00 90.00 120.00
Space group R3m (No. 160, hexagonal axes)
One atom of each set of equivalent atoms:
Ba 0.0000 0.0000 0.0000 x3
Pd 0.0000 0.0000 0.2487 x3
Pd 0.0000 0.0000 0.6293 x3
Rh 0.0006 0.5003 0.1307 x9
S 0.0000 0.0000 0.3977 x3
S 0.0000 0.0000 0.8529 x3
S 0.0704 0.5352 0.3929 x9
S 0.1852 0.3704 0.2074 x9

## Properties
Formation energy from raw total energies   -453 meV/atom
Total moment   0.000 μB/cell

Entry 4:
Computed, not measured: a relaxed Ba2Sb3Pd4Rh crystal at the PBE level of DFT.

a b c (Å): 4.656 4.656 10.968
angles (deg): 90.00 90.00 90.00
Space group P-4m2 (No. 115)
One atom of each set of equivalent atoms:
Ba 0.000 0.500 0.243 x2
Sb 0.000 0.000 0.000 x1
Sb 0.000 0.500 0.626 x2
Pd 0.000 0.000 0.500 x1
Pd 0.000 0.500 0.873 x2
Pd 0.500 0.500 0.500 x1
Rh 0.500 0.500 0.000 x1

## Properties
Formation energy from raw total energies   -617 meV/atom
Total moment   0.196 μB/cell

Entry 5:
Computed, not measured: a relaxed Ba2Sb4Pd3Rh crystal at the PBE level of DFT.

a b c (Å): 4.773 4.773 10.858
angles (deg): 90.00 90.00 90.00
Space group P-4m2 (No. 115)
One atom of each set of equivalent atoms:
Ba 0.000 0.500 0.246 x2
Sb 0.000 0.000 0.500 x1
Sb 0.000 0.500 0.882 x2
Sb 0.500 0.500 0.500 x1
Pd 0.000 0.000 0.000 x1
Pd 0.000 0.500 0.627 x2
Rh 0.500 0.500 0.000 x1

## Properties
Formation energy from raw total energies   -762 meV/atom
Total moment   0.000 μB/cell

Entry 6:
Computed, not measured: a relaxed BaSbPdRh crystal at the PBE level of DFT.

a b c (Å): 4.177 4.177 11.945
angles (deg): 90.00 90.00 90.00
Space group P4/nmm (No. 129, origin choice 2)
One atom of each set of equivalent atoms:
Ba 0.250 0.250 0.201 x2
Sb 0.250 0.250 0.631 x2
Pd 0.250 0.750 0.000 x2
Rh 0.250 0.750 0.500 x2

## Properties
Formation energy from raw total energies   -520 meV/atom
Total moment   0.000 μB/cell

Entry 7:
Computed, not measured: a relaxed BaSbPdRh2 crystal at the PBE level of DFT.

a b c (Å): 4.850 4.850 6.381
angles (deg): 90.00 90.00 90.00
Space group P4/mmm (No. 123)
One atom of each set of equivalent atoms:
Ba 0.000 0.000 0.000 x1
Sb 0.000 0.000 0.500 x1
Pd 0.500 0.500 0.000 x1
Rh 0.000 0.500 0.500 x2

## Properties
Formation energy from raw total energies   569 meV/atom
Total moment   0.000 μB/cell

Entry 8:
Computed, not measured: a relaxed Ba2Sb4PdRh3 crystal at the PBE level of DFT.

a b c (Å): 4.735 4.735 10.672
angles (deg): 90.00 90.00 90.00
Space group P-4m2 (No. 115)
One atom of each set of equivalent atoms:
Ba 0.000 0.500 0.250 x2
Sb 0.000 0.000 0.000 x1
Sb 0.000 0.500 0.625 x2
Sb 0.500 0.500 0.000 x1
Pd 0.000 0.000 0.500 x1
Rh 0.000 0.500 0.879 x2
Rh 0.500 0.500 0.500 x1

## Properties
Formation energy from raw total energies   -727 meV/atom
Total moment   0.000 μB/cell

Entry 9:
Computed, not measured: a relaxed BaPd2Rh3Se8 crystal at the PBE level of DFT.

a b c (Å): 7.6570 7.6570 19.8666
angles (deg): 90.00 90.00 120.00
Space group R3m (No. 160, hexagonal axes)
One atom of each set of equivalent atoms:
Ba 0.0000 0.0000 0.0000 x3
Pd 0.0000 0.0000 0.2537 x3
Pd 0.0000 0.0000 0.6321 x3
Rh 0.0013 0.5006 0.1330 x9
Se 0.0000 0.0000 0.3990 x3
Se 0.0000 0.0000 0.8555 x3
Se 0.0661 0.5330 0.3952 x9
Se 0.1852 0.3704 0.2096 x9

## Properties
Formation energy from raw total energies   -434 meV/atom
Total moment   0.000 μB/cell

Entry 10:
Computed, not measured: a relaxed BaSi2PdRh crystal at the PBE level of DFT.

a b c (Å): 4.226 4.226 11.945
angles (deg): 90.00 90.00 90.00
Space group I-4m2 (No. 119)
One atom of each set of equivalent atoms:
Ba 0.000 0.000 0.000 x2
Si 0.000 0.000 0.348 x4
Pd 0.000 0.500 0.250 x2
Rh 0.000 0.500 0.750 x2

## Properties
Formation energy from raw total energies   -709 meV/atom
Total moment   0.000 μB/cell

Entry 11:
Computed, not measured: a relaxed Ba2Sn3Pd4Rh crystal at the PBE level of DFT.

a b c (Å): 4.707 4.707 10.831
angles (deg): 90.00 90.00 90.00
Space group P-4m2 (No. 115)
One atom of each set of equivalent atoms:
Ba 0.000 0.500 0.243 x2
Sn 0.000 0.000 0.000 x1
Sn 0.000 0.500 0.620 x2
Pd 0.000 0.000 0.500 x1
Pd 0.000 0.500 0.871 x2
Pd 0.500 0.500 0.500 x1
Rh 0.500 0.500 0.000 x1

## Properties
Total moment   0.000 μB/cell
Energy relative to the elements   -0.544 eV/atom

Entry 12:
Computed, not measured: a relaxed Ba3Sn4Pd2Rh2 crystal at the PBE level of DFT.

a b c (Å): 4.6158 4.6158 17.2666
angles (deg): 90.00 90.00 120.00
Space group P-3m1 (No. 164)
One atom of each set of equivalent atoms:
Ba 0.0000 0.0000 0.0000 x1
Ba 0.0000 0.0000 0.2870 x2
Sn 0.3333 0.6667 0.4375 x2
Sn 0.3333 0.6667 0.8553 x2
Pd 0.3333 0.6667 0.1443 x2
Rh 0.3333 0.6667 0.5898 x2

## Properties
Total moment   0.000 μB/cell
Energy relative to the elements   -0.524 eV/atom

Entry 13:
Computed, not measured: a relaxed Ba2TaPdRh crystal at the PBE level of DFT.

a b c (Å): 6.189 6.189 4.641
angles (deg): 90.00 90.00 90.00
Space group P4/mmm (No. 123)
One atom of each set of equivalent atoms:
Ba 0.000 0.500 0.000 x2
Ta 0.000 0.000 0.000 x1
Pd 0.500 0.500 0.500 x1
Rh 0.000 0.000 0.500 x1

## Properties
Total moment   1.214 μB/cell
Energy relative to the elements   0.795 eV/atom

Entry 14:
Computed, not measured: a relaxed Ba6Tl2PdRh crystal at the PBE level of DFT.

a b c (Å): 8.477 8.485 8.515
angles (deg): 118.27 91.42 119.80
Space group P-1 (No. 2)
One atom of each set of equivalent atoms:
Ba 0.194 0.492 0.192 x2
Ba 0.239 0.091 0.343 x2
Ba 0.306 0.004 0.814 x2
Tl 0.247 0.511 0.762 x2
Pd 0.500 0.000 0.500 x1
Rh 0.000 0.000 0.000 x1

## Properties
Total moment   0.000 μB/cell
Energy relative to the elements   -0.284 eV/atom

Entry 15:
Computed, not measured: a relaxed Ba2Tl6PdRh crystal at the PBE level of DFT.

a b c (Å): 10.735 10.752 7.593
angles (deg): 90.00 134.82 90.00
Space group C2/m (No. 12)
One atom of each set of equivalent atoms:
Ba 0.000 0.250 0.000 x4
Tl 0.000 0.249 0.500 x4
Tl 0.249 0.000 0.500 x4
Tl 0.249 0.000 0.998 x4
Pd 0.000 0.500 0.500 x2
Rh 0.000 0.000 0.500 x2

## Properties
Total moment   0.000 μB/cell
Energy relative to the elements   -0.192 eV/atom

Entry 16:
Computed, not measured: a relaxed BaPd2RhW crystal at the PBE level of DFT.

a b c (Å): 5.098 5.098 5.001
angles (deg): 90.00 90.00 90.00
Space group P4/mmm (No. 123)
One atom of each set of equivalent atoms:
Ba 0.000 0.000 0.000 x1
Pd 0.000 0.500 0.000 x2
Rh 0.000 0.000 0.500 x1
W 0.500 0.500 0.500 x1

## Properties
Total moment   0.008 μB/cell
Energy relative to the elements   2.418 eV/atom

Entry 17:
Computed, not measured: a relaxed BaYPdRh2 crystal at the PBE level of DFT.

a b c (Å): 5.085 5.085 5.259
angles (deg): 90.00 90.00 90.00
Space group P4/mmm (No. 123)
One atom of each set of equivalent atoms:
Ba 0.000 0.000 0.000 x1
Y 0.500 0.500 0.500 x1
Pd 0.000 0.000 0.500 x1
Rh 0.000 0.500 0.000 x2

## Properties
Total moment   0.000 μB/cell
Energy relative to the elements   0.921 eV/atom

Entry 18:
Computed, not measured: a relaxed BaPd2Ru crystal at the PBE level of DFT.

a b c (Å): 5.176 5.176 16.935
angles (deg): 90.00 90.00 90.00
Space group I-42d (No. 122)
One atom of each set of equivalent atoms:
Ba 0.000 0.000 0.000 x4
Pd 0.033 0.250 0.625 x8
Ru 0.000 0.000 0.500 x4

## Properties
Total moment   4.385 μB/cell
Relative energy among the computed polymorphs   0 meV/atom
Energy relative to the elements   0.332 eV/atom

Entry 19:
Computed, not measured: a relaxed BaPdRu3 crystal at the PBE level of DFT.

a b c (Å): 4.922 4.922 4.922
angles (deg): 90.00 90.00 90.00
Space group Pm-3m (No. 221)
One atom of each set of equivalent atoms:
Ba 0.000 0.000 0.000 x1
Pd 0.500 0.500 0.500 x1
Ru 0.000 0.500 0.500 x3

## Properties
Total moment   5.368 μB/cell
Relative energy among the computed polymorphs   0 meV/atom
Energy relative to the elements   1.372 eV/atom

Entry 20:
Computed, not measured: a relaxed BaPdRu3 crystal at the PBE level of DFT.

a b c (Å): 4.957 4.957 4.957
angles (deg): 90.00 90.00 90.00
Space group Pm-3m (No. 221)
One atom of each set of equivalent atoms:
Ba 0.000 0.000 0.000 x1
Pd 0.500 0.500 0.500 x1
Ru 0.000 0.000 0.500 x3

## Properties
Total moment   4.579 μB/cell
Relative energy among the computed polymorphs   1321 meV/atom
Energy relative to the elements   2.693 eV/atom

Entry 21:
Computed, not measured: a relaxed BaPd2Ru crystal at the PBE level of DFT.

a b c (Å): 6.946 6.946 6.946
angles (deg): 90.00 90.00 90.00
Space group Fm-3m (No. 225)
One atom of each set of equivalent atoms:
Ba 0.000 0.000 0.000 x4
Pd 0.250 0.250 0.250 x8
Ru 0.000 0.000 0.500 x4

## Properties
Total moment   7.797 μB/cell
Relative energy among the computed polymorphs   107 meV/atom
Energy relative to the elements   0.438 eV/atom

Entry 22:
Computed, not measured: a relaxed Ba8Pd2Ru crystal at the PBE level of DFT.

a b c (Å): 15.032 8.325 8.534
angles (deg): 90.00 90.07 90.00
Space group C2/m (No. 12)
One atom of each set of equivalent atoms:
Ba 0.036 0.241 0.252 x8
Ba 0.193 0.000 0.884 x4
Ba 0.214 0.500 0.597 x4
Pd 0.096 0.000 0.544 x4
Ru 0.000 0.000 0.000 x2

## Properties
Total moment   0.001 μB/cell
Energy relative to the elements   -0.109 eV/atom

Entry 23:
Computed, not measured: a relaxed Ba2PdRuSe crystal at the PBE level of DFT.

a b c (Å): 6.228 6.228 4.510
angles (deg): 90.00 90.00 90.00
Space group P4/mmm (No. 123)
One atom of each set of equivalent atoms:
Ba 0.000 0.500 0.000 x2
Pd 0.000 0.000 0.500 x1
Ru 0.500 0.500 0.500 x1
Se 0.500 0.500 0.000 x1

## Properties
Formation energy from raw total energies   -154 meV/atom
Total moment   0.000 μB/cell

Entry 24:
Computed, not measured: a relaxed BaSrPdRu2 crystal at the PBE level of DFT.

a b c (Å): 4.983 4.983 6.019
angles (deg): 90.00 90.00 90.00
Space group P4/mmm (No. 123)
One atom of each set of equivalent atoms:
Ba 0.000 0.000 0.000 x1
Sr 0.000 0.000 0.500 x1
Pd 0.500 0.500 0.500 x1
Ru 0.000 0.500 0.000 x2

## Properties
Total moment   1.725 μB/cell
Energy relative to the elements   1.860 eV/atom

Entry 25:
Computed, not measured: a relaxed BaTe2PdRu crystal at the PBE level of DFT.

a b c (Å): 5.429 5.429 5.068
angles (deg): 90.00 90.00 90.00
Space group P4/mmm (No. 123)
One atom of each set of equivalent atoms:
Ba 0.000 0.000 0.000 x1
Te 0.000 0.500 0.500 x2
Pd 0.500 0.500 0.500 x1
Ru 0.500 0.500 0.000 x1

## Properties
Formation energy from raw total energies   16 meV/atom
Total moment   2.741 μB/cell